[1]
Computed, not measured: a relaxed Sr5AgIr crystal at the PBE level of DFT.

Cell lengths 13.1252, 9.2387, 11.1128 Å; angles 90.00, 112.98, 90.00 degrees
Closest atoms and distances in Å follow each position.
Space group C2/c (No. 15)
One atom of each set of equivalent atoms:
Sr 0.0000 0.0903 0.2500 (multiplicity 4)  2 Ir 2.90, 1 Ag 3.24
Sr 0.0595 0.2992 0.9688 (multiplicity 8)  1 Ir 2.93
Sr 0.2329 0.0819 0.6392 (multiplicity 8)  1 Ir 2.94, 1 Ag 3.24
Ag 0.0000 0.4407 0.2500 (multiplicity 4)  5 Sr 3.24-3.29
Ir 0.0000 0.0000 0.0000 (multiplicity 4)  6 Sr 2.90-2.94

Calculated formation energy   -96.3 kJ/mol of formula units
Crystal system   monoclinic
Size of the total moment   0.00 μB per cell
VASP energy   -21.1 eV per formula unit
ρ   4.0 g/cm³
DOS(E_F)   0.65 states/eV/atom

[2]
Computed, not measured: a relaxed SrAgIr crystal at the PBE level of DFT.

Cell lengths 4.4885, 4.4885, 4.2704 Å; angles 90.00, 90.00, 120.00 degrees
Closest atoms and distances in Å follow each position.
Space group P-6m2 (No. 187)
One atom of each set of equivalent atoms:
Sr 0.0000 0.0000 0.0000 (multiplicity 1)  6 Ag 3.36, 6 Ir 3.36
Ag 0.6667 0.3333 0.5000 (multiplicity 1)  3 Ir 2.59
Ir 0.3333 0.6667 0.5000 (multiplicity 1)  3 Ag 2.59

Calculated formation energy   41.0 kJ/mol of formula units
Crystal system   hexagonal
Size of the total moment   0.00 μB per cell
VASP energy   -13.0 eV per formula unit
Relative energy among the computed polymorphs   0.2911 eV per atom
ρ   8.6 g/cm³
DOS(E_F)   0.59 states/eV/atom

[3]
Computed, not measured: a relaxed SrAgIr crystal at the PBE level of DFT.

Cell lengths 12.0096, 4.5084, 5.9106 Å; angles 90.00, 106.03, 90.00 degrees
Closest atoms and distances in Å follow each position.
Space group C2/m (No. 12)
One atom of each set of equivalent atoms:
Sr 0.1138 0.0000 0.3124 (multiplicity 4)  1 Ir 2.96, 4 Ag 3.30-3.31
Ag 0.0906 0.5000 0.7052 (multiplicity 4)  3 Ir 2.69-2.84, 1 Ag 2.77
Ir 0.2218 0.0000 0.9188 (multiplicity 4)  2 Ir 2.47, 1 Ag 2.69

Calculated formation energy   -43.3 kJ/mol of formula units
Crystal system   monoclinic
Size of the total moment   0.00 μB per cell
VASP energy   -13.8 eV per formula unit
Relative energy among the computed polymorphs   0.0000 eV per atom
ρ   8.4 g/cm³
DOS(E_F)   0.39 states/eV/atom

[4]
Computed, not measured: a relaxed Sr3AgIr crystal at the PBE level of DFT.

Cell lengths 5.7737, 5.7737, 5.7737 Å; angles 90.00, 90.00, 90.00 degrees
Closest atoms and distances in Å follow each position.
Space group Pm-3m (No. 221)
One atom of each set of equivalent atoms:
Sr 0.0000 0.0000 0.5000 (multiplicity 3)  2 Ir 2.89
Ag 0.5000 0.5000 0.5000 (multiplicity 1)  12 Sr 4.08
Ir 0.0000 0.0000 0.0000 (multiplicity 1)  6 Sr 2.89

Calculated formation energy   -25.6 kJ/mol of formula units
Crystal system   cubic
Size of the total moment   0.00 μB per cell
VASP energy   -17.0 eV per formula unit
Relative energy among the computed polymorphs   0.1626 eV per atom
ρ   4.9 g/cm³
DOS(E_F)   0.56 states/eV/atom

[5]
Computed, not measured: a relaxed Sr3AgIr crystal at the PBE level of DFT.

Cell lengths 4.5189, 8.9220, 8.9770 Å; angles 92.09, 90.01, 104.59 degrees
Closest atoms and distances in Å follow each position.
Space group P-1 (No. 2)
One atom of each set of equivalent atoms:
Sr 0.0640 0.1279 0.1934 (multiplicity 2)  4 Ag 3.29-3.55, 1 Ir 3.66
Sr 0.2380 0.4752 0.8067 (multiplicity 2)  3 Ir 3.07-3.39
Sr 0.3951 0.7915 0.4346 (multiplicity 2)  3 Ir 2.92-3.26
Ag 0.4174 0.8340 0.0695 (multiplicity 2)  1 Ag 3.17, 5 Sr 3.29-3.55
Ir 0.2284 0.4562 0.4642 (multiplicity 2)  2 Ir 2.46

Calculated formation energy   -104.0 kJ/mol of formula units
Crystal system   triclinic
Size of the total moment   0.33 μB per cell
VASP energy   -17.8 eV per formula unit
Relative energy among the computed polymorphs   0.0000 eV per atom
ρ   5.3 g/cm³
DOS(E_F)   0.76 states/eV/atom

[6]
Computed, not measured: a relaxed Sr4AgIr crystal at the PBE level of DFT.

Cell lengths 9.2394, 9.2394, 9.2394 Å; angles 90.00, 90.00, 90.00 degrees
Closest atoms and distances in Å follow each position.
Space group F-43m (No. 216)
One atom of each set of equivalent atoms:
Sr 0.1239 0.1239 0.3761 (multiplicity 16)  6 Sr 3.24-3.29
Ag 0.0000 0.0000 0.0000 (multiplicity 4)  12 Sr 3.83, 4 Ir 4.00
Ir 0.2500 0.2500 0.7500 (multiplicity 4)  12 Sr 3.83, 4 Ag 4.00

Calculated formation energy   522.4 kJ/mol of formula units
Crystal system   cubic
Size of the total moment   0.00 μB per cell
VASP energy   -13.0 eV per formula unit
Relative energy among the computed polymorphs   1.1180 eV per atom
ρ   5.5 g/cm³
DOS(E_F)   1.26 states/eV/atom

[7]
Computed, not measured: a relaxed SrAgIr crystal at the PBE level of DFT.

Cell lengths 3.3210, 3.9850, 10.2852 Å; angles 90.00, 90.00, 90.00 degrees
Closest atoms and distances in Å follow each position.
Space group Imm2 (No. 44)
One atom of each set of equivalent atoms:
Sr 0.0000 0.0000 0.0000 (multiplicity 2)  1 Ag 2.98, 5 Ir 3.10-3.30, 2 Sr 3.32
Ag 0.0000 0.0000 0.7100 (multiplicity 2)  4 Ir 2.76, 1 Sr 2.98
Ir 0.0000 0.0000 0.3019 (multiplicity 2)  4 Ag 2.76

Calculated formation energy   65.4 kJ/mol of formula units
Crystal system   orthorhombic
Size of the total moment   0.00 μB per cell
VASP energy   -12.7 eV per formula unit
Relative energy among the computed polymorphs   0.3755 eV per atom
ρ   9.5 g/cm³
DOS(E_F)   0.73 states/eV/atom

[8]
Computed, not measured: a relaxed Sr2AgIr2 crystal at the PBE level of DFT.

Cell lengths 7.1429, 7.1429, 4.6891 Å; angles 90.00, 90.00, 90.00 degrees
Closest atoms and distances in Å follow each position.
Space group P4/mbm (No. 127)
One atom of each set of equivalent atoms:
Sr 0.1779 0.3221 0.0000 (multiplicity 4)  6 Ir 3.10-3.20
Ag 0.0000 0.0000 0.5000 (multiplicity 2)  4 Ir 2.84
Ir 0.1217 0.6217 0.5000 (multiplicity 4)  1 Ir 2.46

Calculated formation energy   -10.9 kJ/mol of formula units
Crystal system   tetragonal
Size of the total moment   0.00 μB per cell
VASP energy   -24.1 eV per formula unit
ρ   9.3 g/cm³
DOS(E_F)   1.38 states/eV/atom

[9]
Computed, not measured: a relaxed Sr8Ag2Ir crystal at the PBE level of DFT.

Cell lengths 14.5383, 8.0261, 8.3180 Å; angles 90.00, 90.25, 90.00 degrees
Closest atoms and distances in Å follow each position.
Space group C2/m (No. 12)
One atom of each set of equivalent atoms:
Sr 0.0427 0.2457 0.2571 (multiplicity 8)  1 Ir 2.89
Sr 0.1961 0.0000 0.6042 (multiplicity 4)  1 Ir 2.98, 1 Ag 3.24
Sr 0.2010 0.5000 0.8950 (multiplicity 4)  1 Ag 3.20
Ag 0.0967 0.0000 0.9524 (multiplicity 4)  1 Ag 2.93, 2 Sr 3.20-3.24
Ir 0.0000 0.0000 0.5000 (multiplicity 2)  6 Sr 2.89-2.98

Calculated formation energy   -157.4 kJ/mol of formula units
Crystal system   monoclinic
Size of the total moment   0.00 μB per cell
VASP energy   -29.6 eV per formula unit
Relative energy among the computed polymorphs   0.0000 eV per atom
ρ   3.8 g/cm³
DOS(E_F)   0.63 states/eV/atom

[10]
Computed, not measured: a relaxed SrAgIr3 crystal at the PBE level of DFT.

Cell lengths 4.9157, 4.9157, 4.9157 Å; angles 90.00, 90.00, 90.00 degrees
Closest atoms and distances in Å follow each position.
Space group Pm-3m (No. 221)
One atom of each set of equivalent atoms:
Sr 0.0000 0.0000 0.0000 (multiplicity 1)  12 Ir 3.48
Ag 0.5000 0.5000 0.5000 (multiplicity 1)  6 Ir 2.46
Ir 0.0000 0.5000 0.5000 (multiplicity 3)  2 Ag 2.46

Calculated formation energy   724.9 kJ/mol of formula units
Crystal system   cubic
Size of the total moment   1.84 μB per cell
VASP energy   -23.6 eV per formula unit
Relative energy among the computed polymorphs   0.0000 eV per atom
ρ   10.8 g/cm³
DOS(E_F)   1.84 states/eV/atom

[11]
Computed, not measured: a relaxed SrTmAgIr crystal at the PBE level of DFT.

Cell lengths 7.1583, 7.1583, 7.1583 Å; angles 90.00, 90.00, 90.00 degrees
Closest atoms and distances in Å follow each position.
Space group F-43m (No. 216)
One atom of each set of equivalent atoms:
Sr 0.0000 0.0000 0.0000 (multiplicity 4)  4 Ir 3.10, 4 Ag 3.10
Tm 0.0000 0.0000 0.5000 (multiplicity 4)  4 Ir 3.10, 4 Ag 3.10
Ag 0.2500 0.2500 0.7500 (multiplicity 4)  4 Tm 3.10, 4 Sr 3.10
Ir 0.2500 0.2500 0.2500 (multiplicity 4)  4 Tm 3.10, 4 Sr 3.10

Calculated formation energy   -116.3 kJ/mol of formula units
Crystal system   cubic
Size of the total moment   0.00 μB per cell
VASP energy   -19.1 eV per formula unit
ρ   10.1 g/cm³
DOS(E_F)   0.66 states/eV/atom

[12]
Computed, not measured: a relaxed Sr2VAgIr crystal at the PBE level of DFT.

Cell lengths 5.7398, 5.7398, 4.9979 Å; angles 90.00, 90.00, 90.00 degrees
Closest atoms and distances in Å follow each position.
Space group P4/mmm (No. 123)
One atom of each set of equivalent atoms:
Sr 0.0000 0.5000 0.0000 (multiplicity 2)  2 Ag 2.87
V 0.0000 0.0000 0.5000 (multiplicity 1)  8 Sr 3.81, 4 Ir 4.06
Ag 0.5000 0.5000 0.0000 (multiplicity 1)  2 Ir 2.50
Ir 0.5000 0.5000 0.5000 (multiplicity 1)  2 Ag 2.50

Calculated formation energy   598.8 kJ/mol of formula units
Crystal system   tetragonal
Size of the total moment   1.08 μB per cell
VASP energy   -18.0 eV per formula unit
ρ   5.3 g/cm³
DOS(E_F)   1.86 states/eV/atom

[13]
Computed, not measured: a relaxed SrYAgIr crystal at the PBE level of DFT.

Cell lengths 7.2204, 7.2204, 7.2204 Å; angles 90.00, 90.00, 90.00 degrees
Closest atoms and distances in Å follow each position.
Space group F-43m (No. 216)
One atom of each set of equivalent atoms:
Sr 0.0000 0.0000 0.0000 (multiplicity 4)  4 Ir 3.13, 4 Ag 3.13
Y 0.0000 0.0000 0.5000 (multiplicity 4)  4 Ir 3.13, 4 Ag 3.13
Ag 0.2500 0.2500 0.2500 (multiplicity 4)  4 Sr 3.13, 4 Y 3.13
Ir 0.2500 0.2500 0.7500 (multiplicity 4)  4 Sr 3.13, 4 Y 3.13

Calculated formation energy   -114.5 kJ/mol of formula units
Crystal system   cubic
Size of the total moment   0.00 μB per cell
VASP energy   -21.0 eV per formula unit
ρ   8.4 g/cm³
DOS(E_F)   0.63 states/eV/atom

[14]
Computed, not measured: a relaxed SrZn2AgIr crystal at the PBE level of DFT.

Cell lengths 4.8149, 4.8149, 5.2514 Å; angles 90.00, 90.00, 90.00 degrees
Closest atoms and distances in Å follow each position.
Space group P4/mmm (No. 123)
One atom of each set of equivalent atoms:
Sr 0.0000 0.0000 0.0000 (multiplicity 1)  4 Ag 3.40, 8 Zn 3.56
Zn 0.0000 0.5000 0.5000 (multiplicity 2)  2 Ir 2.41
Ag 0.5000 0.5000 0.0000 (multiplicity 1)  2 Ir 2.63
Ir 0.5000 0.5000 0.5000 (multiplicity 1)  4 Zn 2.41, 2 Ag 2.63

Calculated formation energy   -46.0 kJ/mol of formula units
Crystal system   tetragonal
Size of the total moment   0.00 μB per cell
VASP energy   -16.4 eV per formula unit
ρ   7.1 g/cm³
DOS(E_F)   0.48 states/eV/atom

[15]
Computed, not measured: a relaxed TaAgIr2 crystal at the PBE level of DFT.

Cell lengths 6.3531, 6.3531, 6.3531 Å; angles 90.00, 90.00, 90.00 degrees
Closest atoms and distances in Å follow each position.
Space group Fm-3m (No. 225)
One atom of each set of equivalent atoms:
Ta 0.0000 0.0000 0.0000 (multiplicity 4)  8 Ir 2.75
Ag 0.0000 0.0000 0.5000 (multiplicity 4)  8 Ir 2.75
Ir 0.2500 0.2500 0.2500 (multiplicity 8)  4 Ta 2.75, 4 Ag 2.75

Calculated formation energy   -57.0 kJ/mol of formula units
Crystal system   cubic
Size of the total moment   0.00 μB per cell
VASP energy   -33.0 eV per formula unit
Relative energy among the computed polymorphs   0.0631 eV per atom
ρ   17.4 g/cm³
DOS(E_F)   0.17 states/eV/atom

[16]
Computed, not measured: a relaxed TaAgIr2 crystal at the PBE level of DFT.

Cell lengths 4.1136, 4.1136, 7.5026 Å; angles 90.00, 90.00, 90.00 degrees
Closest atoms and distances in Å follow each position.
Space group I4/mmm (No. 139)
One atom of each set of equivalent atoms:
Ta 0.0000 0.0000 0.0000 (multiplicity 2)  8 Ir 2.78, 4 Ag 2.91
Ag 0.0000 0.0000 0.5000 (multiplicity 2)  8 Ir 2.78, 4 Ta 2.91
Ir 0.0000 0.5000 0.2500 (multiplicity 4)  4 Ta 2.78, 4 Ag 2.78, 4 Ir 2.91

Calculated formation energy   -81.3 kJ/mol of formula units
Crystal system   tetragonal
Size of the total moment   0.00 μB per cell
VASP energy   -33.3 eV per formula unit
Relative energy among the computed polymorphs   0.0000 eV per atom
ρ   17.6 g/cm³
DOS(E_F)   0.56 states/eV/atom

[17]
Computed, not measured: a relaxed TaAgIr2 crystal at the PBE level of DFT.

Cell lengths 3.4321, 3.4321, 5.6540 Å; angles 90.00, 90.00, 90.00 degrees
Closest atoms and distances in Å follow each position.
Space group P4mm (No. 99)
One atom of each set of equivalent atoms:
Ta 0.0000 0.0000 0.0000 (multiplicity 1)  5 Ir 2.58-2.66
Ag 0.5000 0.5000 0.2984 (multiplicity 1)  6 Ir 2.77-2.88, 4 Ta 2.96
Ir 0.0000 0.0000 0.5443 (multiplicity 1)  1 Ta 2.58, 4 Ag 2.80, 4 Ir 2.85
Ir 0.5000 0.5000 0.8076 (multiplicity 1)  4 Ta 2.66, 2 Ag 2.77-2.88, 4 Ir 2.85

Calculated formation energy   56.6 kJ/mol of formula units
Crystal system   tetragonal
Size of the total moment   0.00 μB per cell
VASP energy   -31.8 eV per formula unit
Relative energy among the computed polymorphs   0.3574 eV per atom
ρ   16.8 g/cm³
DOS(E_F)   1.16 states/eV/atom

[18]
Computed, not measured: a relaxed TaAgIr2 crystal at the PBE level of DFT.

Cell lengths 2.8316, 2.8316, 27.9951 Å; angles 90.00, 90.00, 120.00 degrees
Closest atoms and distances in Å follow each position.
Space group R-3m (No. 166, hexagonal axes)
One atom of each set of equivalent atoms:
Ta 0.0000 0.0000 0.0000 (multiplicity 3)  6 Ir 2.75, 6 Ta 2.83
Ag 0.0000 0.0000 0.5000 (multiplicity 3)  6 Ag 2.83, 6 Ir 2.95
Ir 0.0000 0.0000 0.2542 (multiplicity 6)  3 Ta 2.75, 6 Ir 2.83, 3 Ag 2.95

Calculated formation energy   -35.4 kJ/mol of formula units
Crystal system   trigonal
Size of the total moment   0.02 μB per cell
VASP energy   -32.8 eV per formula unit
Relative energy among the computed polymorphs   0.1192 eV per atom
ρ   17.3 g/cm³
DOS(E_F)   1.20 states/eV/atom

[19]
Computed, not measured: a relaxed TaAgIr2 crystal at the PBE level of DFT.

Cell lengths 6.3716, 6.3716, 6.3716 Å; angles 90.00, 90.00, 90.00 degrees
Closest atoms and distances in Å follow each position.
Space group F-43m (No. 216)
One atom of each set of equivalent atoms:
Ta 0.0000 0.0000 0.0000 (multiplicity 4)  4 Ir 2.76, 4 Ag 2.76
Ag 0.2500 0.2500 0.2500 (multiplicity 4)  4 Ir 2.76, 4 Ta 2.76
Ir 0.0000 0.0000 0.5000 (multiplicity 4)  4 Ir 2.76, 4 Ag 2.76
Ir 0.2500 0.2500 0.7500 (multiplicity 4)  4 Ta 2.76, 4 Ir 2.76

Calculated formation energy   88.5 kJ/mol of formula units
Crystal system   cubic
Size of the total moment   0.00 μB per cell
VASP energy   -31.5 eV per formula unit
Relative energy among the computed polymorphs   0.4400 eV per atom
ρ   17.3 g/cm³
DOS(E_F)   1.16 states/eV/atom

[20]
Computed, not measured: a relaxed TaAgIr2 crystal at the PBE level of DFT.

Cell lengths 2.7910, 2.7910, 8.2485 Å; angles 90.00, 90.00, 90.00 degrees
Closest atoms and distances in Å follow each position.
Space group P4mm (No. 99)
One atom of each set of equivalent atoms:
Ta 0.0000 0.0000 0.0000 (multiplicity 1)  4 Ta 2.79, 4 Ir 2.83, 4 Ag 2.96
Ag 0.5000 0.5000 0.2677 (multiplicity 1)  4 Ag 2.79, 4 Ir 2.91, 4 Ta 2.96
Ir 0.0000 0.0000 0.5269 (multiplicity 1)  8 Ir 2.72-2.79, 4 Ag 2.91
Ir 0.5000 0.5000 0.7543 (multiplicity 1)  8 Ir 2.72-2.79, 4 Ta 2.83

Calculated formation energy   37.6 kJ/mol of formula units
Crystal system   tetragonal
Size of the total moment   0.00 μB per cell
VASP energy   -32.0 eV per formula unit
Relative energy among the computed polymorphs   0.3083 eV per atom
ρ   17.4 g/cm³
DOS(E_F)   1.15 states/eV/atom